Record 1
This record from Alexandria via LeMat-Bulk describes a relaxed structure of Sr2Al4Ag3Sn. The functional is GGA-PBE.

Values from the calculation:
Space group: P-4m2
Energy relative to the elements, eV per atom: -0.27

Cell lengths 4.475, 4.475, 11.479 Å; angles 90.00, 90.00, 90.00 degrees
Fractional positions:
Sn 0.500 0.500 0.500
Al 0.500 0.000 0.646
Al 0.500 0.500 0.000
Al 0.000 0.500 0.354
Al 0.000 0.000 0.000
Ag 0.500 0.000 0.872
Ag 0.000 0.000 0.500
Ag 0.000 0.500 0.128
Sr 0.000 0.500 0.756
Sr 0.500 0.000 0.244

Record 2
This record from Alexandria via LeMat-Bulk describes a relaxed structure of SrAlAgSn2. The functional is GGA-PBE.

Values from the calculation:
Space group: I-4m2
Energy relative to the elements, eV per atom: -0.28

Cell lengths 4.749, 4.749, 6.774 Å; angles 110.52, 110.52, 90.00 degrees
Fractional positions:
Sn 0.622 0.622 0.244
Sn 0.378 0.378 0.756
Ag 0.250 0.750 0.500
Al 0.750 0.250 0.500
Sr 0.000 0.000 0.000

Record 3
This record from Alexandria via LeMat-Bulk describes a relaxed structure of Sr2Al3AgSn4. The functional is GGA-PBE.

Values from the calculation:
Space group: P-4m2
Energy relative to the elements, eV per atom: -0.27

Cell lengths 4.913, 4.913, 11.038 Å; angles 90.00, 90.00, 90.00 degrees
Fractional positions:
Al 0.000 0.000 0.500
Al 0.500 0.000 0.873
Al 0.000 0.500 0.127
Sn 0.000 0.000 0.000
Sn 0.500 0.500 0.000
Sn 0.500 0.000 0.630
Sn 0.000 0.500 0.370
Ag 0.500 0.500 0.500
Sr 0.000 0.500 0.740
Sr 0.500 0.000 0.260

Record 4
This record from Alexandria via LeMat-Bulk describes a relaxed structure of AlZnAgSn. The functional is GGA-PBE.

Values from the calculation:
Space group: F-43m
Energy relative to the elements, eV per atom: 0.19

Cell lengths 4.829, 4.829, 4.829 Å; angles 60.00, 60.00, 60.00 degrees
Fractional positions:
Al 0.750 0.750 0.750
Ag 0.000 0.000 0.000
Sn 0.500 0.500 0.500
Zn 0.250 0.250 0.250